(1)
Density functional theory data (PBE) for GaHg2Au2 after structural relaxation.

Lattice parameters (Å, degrees): 8.6031 8.6031 2.9696 90.00 90.00 90.00
Atoms (fractional coordinates):
Ga: 0.0000 0.0000 0.0000
Ga: 0.5000 0.5000 0.0000
Hg: 0.1340 0.3660 0.0000
Hg: 0.3660 0.8660 0.0000
Hg: 0.6340 0.1340 0.0000
Hg: 0.8660 0.6340 0.0000
Au: 0.1651 0.6651 0.5000
Au: 0.3349 0.1651 0.5000
Au: 0.6651 0.8349 0.5000
Au: 0.8349 0.3349 0.5000

Output
**D(E_F)**: 0.393 states/eV/atom
**Energy above the lowest structure with this stoichiometry**: 0.54 eV/f.u.
**E_form**: 0.12 eV per atom

(2)
Density functional theory data (PBE) for TmScGaCo after structural relaxation.

Lattice parameters (Å, degrees): 4.7199 4.7199 4.7199 60.00 60.00 60.00
Atoms (fractional coordinates):
Tm: 0.0000 0.0000 0.0000
Sc: 0.5000 0.5000 0.5000
Ga: 0.2500 0.2500 0.2500
Co: 0.7500 0.7500 0.7500

Output
**D(E_F)**: 0.660 states/eV/atom
**E_form**: -0.39 eV per atom

(3)
Density functional theory data (PBE) for Rb2AlSbAs after structural relaxation.

Lattice parameters (Å, degrees): 7.0548 7.0548 4.7379 90.00 90.00 90.00
Atoms (fractional coordinates):
Rb: 0.0000 0.5000 0.0000
Rb: 0.5000 0.0000 0.0000
Al: 0.0000 0.0000 0.0000
Sb: 0.5000 0.5000 0.5000
As: 0.0000 0.0000 0.5000

Output
**D(E_F)**: 1.128 states/eV/atom
**E_form (uncorrected)**: 232 meV per atom

(4)
Density functional theory data (PBE) for K2CdO2 after structural relaxation.

Lattice parameters (Å, degrees): 6.7028 6.7028 4.0787 90.00 90.00 90.00
Atoms (fractional coordinates):
K: 0.1421 0.3579 0.0000
K: 0.3579 0.8579 0.0000
K: 0.6421 0.1421 0.0000
K: 0.8579 0.6421 0.0000
Cd: 0.0000 0.0000 0.5000
Cd: 0.5000 0.5000 0.5000
O: 0.1871 0.6871 0.5000
O: 0.3129 0.1871 0.5000
O: 0.6871 0.8129 0.5000
O: 0.8129 0.3129 0.5000

Output
**D(E_F)**: 0.024 states/eV/atom
**E_form (uncorrected)**: -783 meV per atom

(5)
Density functional theory data (PBE) for LaRe4Rh after structural relaxation.

Lattice parameters (Å, degrees): 5.3587 5.3587 5.3587 60.00 60.00 60.00
Atoms (fractional coordinates):
La: 0.0000 0.0000 0.0000
Re: 0.1289 0.6237 0.6237
Re: 0.6237 0.1289 0.6237
Re: 0.6237 0.6237 0.1289
Re: 0.6237 0.6237 0.6237
Rh: 0.2500 0.2500 0.2500

Output
**D(E_F)**: 1.494 states/eV/atom
**E_form**: 0.41 eV per atom

(6)
Density functional theory data (PBE) for Ce2TlF8 after structural relaxation.

Lattice parameters (Å, degrees): 6.6505 6.6505 4.4966 94.08 94.08 114.25
Atoms (fractional coordinates):
Ce: 0.1754 0.8246 0.0000
Ce: 0.8246 0.1754 0.0000
Tl: 0.5000 0.5000 0.5000
F: 0.0973 0.0973 0.2583
F: 0.1629 0.4575 0.9379
F: 0.2280 0.7720 0.5000
F: 0.4575 0.1629 0.9379
F: 0.5425 0.8371 0.0621
F: 0.7720 0.2280 0.5000
F: 0.8371 0.5425 0.0621
F: 0.9027 0.9027 0.7417

Output
**D(E_F)**: 0.768 states/eV/atom
**E_form (uncorrected)**: -3563 meV per atom

| no. | ρ (g/cm3) |
| --- | --- |
| 1 | 13.1 |
| 2 | 7.7 |
| 3 | 2.8 |
| 4 | 4.0 |
| 5 | 15.1 |
| 6 | 5.9 |